# 1
# PBE Rb2TeF, relaxed
# Fermi-level density of states	0.97	states/eV per cell
# formation energy from raw total energies	-36.85	kcal/mol of atoms
# M_tot	0.00	μB/cell
# distance to the lowest polymorph of the same formula	0.00	kcal/mol of atoms
data_Rb2TeF
_chemical_formula_sum 'Rb2 Te1 F1'
_symmetry_space_group_name_H-M 'P 1'
_symmetry_Int_Tables_number 1
_symmetry_space_group_name_Hall 'P 1'
_cell_length_a 3.633
_cell_length_b 3.633
_cell_length_c 8.780
_cell_angle_alpha 90.00
_cell_angle_beta 90.00
_cell_angle_gamma 90.00
loop_
_atom_site_label
_atom_site_fract_x
_atom_site_fract_y
_atom_site_fract_z
Te1 0.500 0.500 0.500
Rb1 0.000 0.000 0.807
Rb2 0.000 0.000 0.193
F1 0.500 0.500 0.000

---

# 2
# PBE PrHoGeRh, relaxed
# Fermi-level density of states	3.85	states/eV per cell
# formation enthalpy at 0 K	-802	meV per atom
# M_tot	0.00	μB/cell
# distance to the lowest polymorph of the same formula	0.00	kcal/mol of atoms
data_PrHoGeRh
_chemical_formula_sum 'Pr1 Ho1 Ge1 Rh1'
_symmetry_space_group_name_H-M 'P 1'
_symmetry_Int_Tables_number 1
_symmetry_space_group_name_Hall 'P 1'
_cell_length_a 4.195
_cell_length_b 4.207
_cell_length_c 5.724
_cell_angle_alpha 90.00
_cell_angle_beta 111.50
_cell_angle_gamma 90.00
loop_
_atom_site_label
_atom_site_fract_x
_atom_site_fract_y
_atom_site_fract_z
Pr1 0.146 0.000 0.292
Ho1 0.865 0.500 0.730
Ge1 0.569 0.500 0.139
Rh1 0.420 0.000 0.839

---

# 3
# PBE YCoTc2, relaxed
# Fermi-level density of states	5.44	states/eV per cell
# formation enthalpy at 0 K	486	meV per atom
# M_tot	2.65	μB/cell
# distance to the lowest polymorph of the same formula	8.77	kcal/mol of atoms
data_YCoTc2
_chemical_formula_sum 'Y1 Co1 Tc2'
_symmetry_space_group_name_H-M 'P 1'
_symmetry_Int_Tables_number 1
_symmetry_space_group_name_Hall 'P 1'
_cell_length_a 4.407
_cell_length_b 4.407
_cell_length_c 3.371
_cell_angle_alpha 90.00
_cell_angle_beta 90.00
_cell_angle_gamma 90.00
loop_
_atom_site_label
_atom_site_fract_x
_atom_site_fract_y
_atom_site_fract_z
Co1 0.000 0.500 0.500
Tc1 0.000 0.000 0.000
Tc2 0.500 0.500 0.000
Y1 0.500 0.000 0.500

---

# 4
# PBE ScPbBr2, relaxed
# Fermi-level density of states	2.72	states/eV per cell
# formation energy from raw total energies	-20.79	kcal/mol of atoms
# M_tot	0.00	μB/cell
# distance to the lowest polymorph of the same formula	1.86	kcal/mol of atoms
data_ScPbBr2
_chemical_formula_sum 'Sc1 Pb1 Br2'
_symmetry_space_group_name_H-M 'P 1'
_symmetry_Int_Tables_number 1
_symmetry_space_group_name_Hall 'P 1'
_cell_length_a 7.669
_cell_length_b 7.669
_cell_length_c 6.768
_cell_angle_alpha 49.19
_cell_angle_beta 49.19
_cell_angle_gamma 26.97
loop_
_atom_site_label
_atom_site_fract_x
_atom_site_fract_y
_atom_site_fract_z
Br1 0.923 0.923 0.075
Br2 0.729 0.729 0.867
Pb1 0.560 0.560 0.497
Sc1 0.289 0.289 0.060